The following is a DFT calculation (GGA-PBE) of a relaxed structure of TaWSe2.

Cell lengths 4.7429, 4.7429, 4.9547 Å; angles 104.26, 104.26, 40.28 degrees
With the nearest neighbours (Å) after each atom.
Positions (direct):
Ta (0.0000, 0.0000, 0.0000)  5 Se 2.68-2.73, 2 W 2.97
W (0.2455, 0.2455, 0.6445)  5 Se 2.52-2.72
Se (0.5166, 0.5166, 0.5800)  3 W 2.52-2.57, 2 Ta 2.68
Se (0.7444, 0.7444, 0.2062)  3 Ta 2.70-2.73, 2 W 2.72

**Formation energy (no corrections)**: 0.051 eV per atom
**Energy above the most stable polymorph in this dataset**: 0.379 eV/atom
**Space-group type**: No. 8